# 1
## CdPCl2 (PBE)

Data for a relaxed structure of CdPCl2.

Geometry as CIF:
```
data_CdPCl2
_chemical_formula_sum 'Cd1 P1 Cl2'
_space_group_name_H-M_alt 'P 1'
_space_group_IT_number 1
_space_group_name_Hall 'P 1'
_cell_length_a 3.206
_cell_length_b 4.122
_cell_length_c 6.280
_cell_angle_alpha 90.00
_cell_angle_beta 90.00
_cell_angle_gamma 90.00
loop_
_atom_site_label
_atom_site_type_symbol
_atom_site_fract_x
_atom_site_fract_y
_atom_site_fract_z
Cl1 Cl 0.000 0.000 0.500
Cd1 Cd 0.500 0.500 0.750
P1 P 0.500 0.500 0.250
Cl2 Cl 0.000 0.000 0.000
```

Summary:
offset from the most stable computed form	774	meV/atom
total magnetization	0.42	μB/cell
ΔE_f (raw)	379	meV/atom
D(E_F)	2.87	states/eV/f.u.

***

# 2
## Ho2SbH (PBE)

Data for a relaxed structure of Ho2SbH.

Geometry as CIF:
```
data_Ho2SbH
_chemical_formula_sum 'Ho8 Sb4 H4'
_space_group_name_H-M_alt 'P 1'
_space_group_IT_number 1
_space_group_name_Hall 'P 1'
_cell_length_a 7.166
_cell_length_b 7.279
_cell_length_c 7.272
_cell_angle_alpha 90.00
_cell_angle_beta 81.42
_cell_angle_gamma 90.00
loop_
_atom_site_label
_atom_site_type_symbol
_atom_site_fract_x
_atom_site_fract_y
_atom_site_fract_z
H1 H 0.416 0.830 0.425
Ho1 Ho 0.686 0.868 0.556
Ho2 Ho 0.814 0.368 0.444
Ho3 Ho 0.509 0.263 0.868
H2 H 0.584 0.170 0.575
H3 H 0.916 0.670 0.425
Ho4 Ho 0.491 0.737 0.132
Sb1 Sb 0.792 0.584 0.830
H4 H 0.084 0.330 0.575
Ho5 Ho 0.314 0.132 0.444
Sb2 Sb 0.208 0.416 0.170
Ho6 Ho 0.009 0.237 0.868
Sb3 Sb 0.292 0.916 0.830
Ho7 Ho 0.991 0.763 0.132
Sb4 Sb 0.708 0.084 0.170
Ho8 Ho 0.186 0.632 0.556
```

Summary:
offset from the most stable computed form	0	meV/atom
total magnetization	0.00	μB/cell
D(E_F)	1.87	states/eV/f.u.